# 1
First-principles (PBE-GGA) data for ZrAlSe3 after structural relaxation, as listed in Alexandria via LeMat-Bulk.

Raw total energy = -4.9607 eV/atom
Total magnetic moment = 0.000 Bohr magnetons per cell
Symmetry = Pm-3m
Offset from the most stable computed form = 0.0 kJ per mole of atoms
Calculated volume = 28.935 Å³/atom
ΔE_f (raw) = -0.412 eV/atom

Cell and atoms, written as POSCAR:
```
ZrAlSe3
1.0
-0.7174 -2.2479 4.6895
4.7634 1.6154 1.5030
-2.0866 4.4605 1.8190
Se Zr Al
3 1 1
Cartesian
2.3817 0.8077 0.7515
-1.0433 2.2303 0.9095
-0.3587 -1.1240 2.3447
0.0000 0.0000 0.0000
0.9797 1.9140 4.0058
```


# 2
First-principles (PBE-GGA) data for In2AgPd2 after structural relaxation, as listed in Alexandria via LeMat-Bulk.

Raw total energy = -3.8034 eV/atom
Total magnetic moment = 0.000 Bohr magnetons per cell
Symmetry = I4/mmm
Offset from the most stable computed form = 29.3 kJ per mole of atoms
Formation energy = -61 meV/atom
Calculated volume = 20.978 Å³/atom

Cell and atoms, written as POSCAR:
```
In2AgPd2
1.0
-0.5816 3.0295 -2.7943
1.0593 -2.6173 -3.0580
-5.5550 -1.4500 -3.5157
Pd Ag In
2 1 2
Cartesian
-0.9913 -0.1455 -3.0513
-4.0859 -0.8923 -6.3167
0.0000 0.0000 0.0000
-2.9489 0.8928 -4.6181
-2.1284 -1.9306 -4.7500
```


# 3
First-principles (PBE-GGA) data for NdSmDyZn after structural relaxation, as listed in Alexandria via LeMat-Bulk.

Raw total energy = -3.8044 eV/atom
Total magnetic moment = 0.001 Bohr magnetons per cell
Symmetry = F-43m
Offset from the most stable computed form = 18.7 kJ per mole of atoms
Formation energy = 36 meV/atom
Calculated volume = 28.252 Å³/atom

Cell and atoms, written as POSCAR:
```
NdSmDyZn
1.0
-1.8401 4.6533 2.1001
-1.2826 0.2808 5.2655
3.1135 2.8600 3.4024
Zn Nd Sm Dy
1 1 1 1
Cartesian
-0.0046 3.8971 5.3840
-0.0023 1.9485 2.6920
-0.0069 5.8456 8.0760
0.0000 0.0000 0.0000
```


# 4
First-principles (PBE-GGA) data for Ca4ZrOs after structural relaxation, as listed in Alexandria via LeMat-Bulk.

Raw total energy = -3.4705 eV/atom
Total magnetic moment = 2.150 Bohr magnetons per cell
Symmetry = F-43m
Formation energy = 1160 meV/atom
Calculated volume = 26.985 Å³/atom

Cell and atoms, written as POSCAR:
```
Ca4ZrOs
1.0
3.6420 -0.7403 4.8595
-2.3588 0.1563 5.6426
-0.3331 -5.1282 3.3193
Ca Zr Os
4 1 1
Cartesian
2.1679 -2.5142 7.6089
0.1913 -4.6960 6.8431
-0.8159 -2.0683 7.9983
0.3570 -2.1460 5.1925
0.0000 0.0000 0.0000
0.7126 -4.2842 10.3660
```


# 5
First-principles (PBE-GGA) data for CePmHo2Tm4 after structural relaxation, as listed in Alexandria via LeMat-Bulk.

Raw total energy = -4.6678 eV/atom
Total magnetic moment = 0.956 Bohr magnetons per cell
Symmetry = Pmmm
Formation energy = 48 meV/atom
Calculated volume = 30.877 Å³/atom

Cell and atoms, written as POSCAR:
```
CePmHo2Tm4
1.0
-0.7221 4.9546 0.1396
-4.5616 -0.6102 -1.9375
-8.3158 -1.4137 7.1618
Ce Pm Ho Tm
1 1 2 4
Cartesian
-6.4388 -1.0120 2.6122
-2.6419 2.1722 -0.8989
-8.3158 -1.4137 7.1617
-4.5189 1.7704 3.6507
-9.6465 -1.5155 3.8937
-3.9531 4.4462 1.4702
-5.8722 1.6639 0.4345
-7.7273 1.2668 4.9294
```


# 6
First-principles (PBE-GGA) data for Pu6FeRu3 after structural relaxation, as listed in Alexandria via LeMat-Bulk.

Raw total energy = -12.0755 eV/atom
Total magnetic moment = 58.494 Bohr magnetons per cell
Symmetry = P6_322
Formation energy = 153 meV/atom
Calculated volume = 22.193 Å³/atom

Cell and atoms, written as POSCAR:
```
Pu6FeRu3
1.0
6.3869 0.0000 0.0000
-3.1934 5.5312 0.0000
0.0000 0.0000 12.5644
Pu Fe Ru
12 2 6
Cartesian
-1.9757 3.8325 8.0305
0.8622 1.9039 8.0305
5.1691 1.6986 1.7483
1.2178 1.6986 4.5339
1.1135 5.3259 8.0305
2.3312 3.6273 1.7483
4.0556 3.6273 4.5339
1.9757 3.8325 10.8161
2.0799 0.2053 1.7483
-0.8622 1.9039 10.8161
4.3069 0.2053 4.5339
-1.1135 5.3259 10.8161
3.1934 1.8437 9.4233
0.0000 3.6875 3.1411
0.0000 0.0000 6.2822
0.0000 0.0000 0.0000
3.1934 1.8437 12.3024
0.0000 3.6875 6.0202
0.0000 3.6875 0.2620
3.1934 1.8437 6.5442
```


# 7
First-principles (PBE-GGA) data for HgOF2 after structural relaxation, as listed in Alexandria via LeMat-Bulk.

Raw total energy = -2.2862 eV/atom
Total magnetic moment = 0.737 Bohr magnetons per cell
Symmetry = R-3m
Offset from the most stable computed form = 95.3 kJ per mole of atoms
Calculated volume = 16.570 Å³/atom
ΔE_f (raw) = -0.035 eV/atom

Cell and atoms, written as POSCAR:
```
HgOF2
1.0
1.9808 0.0000 6.5020
-0.9904 1.7154 6.5020
-0.9904 -1.7154 6.5020
Hg O F
1 1 2
Cartesian
0.0000 0.0000 9.7530
0.0000 0.0000 0.0000
0.0000 0.0000 17.7304
0.0000 0.0000 1.7757
```


# 8
First-principles (PBE-GGA) data for RbAcH after structural relaxation, as listed in Alexandria via LeMat-Bulk.

Raw total energy = -2.7251 eV/atom
Total magnetic moment = 0.000 Bohr magnetons per cell
Symmetry = Amm2
Calculated volume = 34.593 Å³/atom

Cell and atoms, written as POSCAR:
```
RbAcH
1.0
-0.2400 1.9807 3.4167
-2.8755 -2.5153 -1.0347
7.3836 -11.3640 7.1064
H Ac Rb
2 2 2
Cartesian
-0.8089 0.6396 1.8633
2.0531 -6.5163 3.9218
4.8517 -10.9238 6.6734
-0.8434 -2.1586 1.1921
2.0315 -3.6379 4.5425
3.8262 -6.4001 6.2699
```


# 9
First-principles (PBE-GGA) data for Ta4CoIr after structural relaxation, as listed in Alexandria via LeMat-Bulk.

Raw total energy = -10.1095 eV/atom
Total magnetic moment = 0.004 Bohr magnetons per cell
Symmetry = F-43m
Offset from the most stable computed form = 74.4 kJ per mole of atoms
Formation energy = 453 meV/atom
Calculated volume = 17.316 Å³/atom

Cell and atoms, written as POSCAR:
```
Ta4CoIr
1.0
5.1281 -1.1799 0.3937
2.1300 -0.9634 4.7307
1.4899 -4.8990 1.2744
Ta Co Ir
4 1 1
Cartesian
5.8451 -3.2307 2.5962
4.0253 -5.0910 3.0367
4.3455 -3.1224 4.7655
3.2801 -2.6405 2.3993
6.5610 -5.2817 4.7991
0.0000 0.0000 0.0000
```


# 10
First-principles (PBE-GGA) data for LiMn3 after structural relaxation, as listed in Alexandria via LeMat-Bulk.

Raw total energy = -7.1365 eV/atom
Total magnetic moment = 1.079 Bohr magnetons per cell
Symmetry = R-3m
Formation energy = 219 meV/atom
Calculated volume = 11.559 Å³/atom

Cell and atoms, written as POSCAR:
```
LiMn3
1.0
8.7659 0.0119 0.0069
8.4104 2.4710 0.0069
8.4104 1.2157 2.1512
Li Mn
1 3
Cartesian
0.0000 0.0000 0.0000
19.3539 2.7976 1.6377
12.7934 1.8493 1.0826
6.2329 0.9010 0.5274
```


# 11
First-principles (PBE-GGA) data for Tb2PrSmY after structural relaxation, as listed in Alexandria via LeMat-Bulk.

Raw total energy = -4.6708 eV/atom
Total magnetic moment = 0.003 Bohr magnetons per cell
Symmetry = Cmcm
Formation energy = 374 meV/atom
Calculated volume = 35.480 Å³/atom

Cell and atoms, written as POSCAR:
```
Tb2PrSmY
1.0
7.2092 0.0000 0.0000
0.0000 8.4352 0.0000
0.0000 -4.2176 5.8345
Tb Pr Sm Y
4 2 2 2
Cartesian
3.6046 2.6281 0.0000
0.0000 5.8071 0.0000
3.6046 5.8071 0.0000
0.0000 2.6281 0.0000
1.8023 4.2176 2.5950
5.4069 0.0000 3.2395
1.8023 4.2176 5.6819
5.4069 0.0000 0.1526
5.4069 4.2176 2.6952
1.8023 0.0000 3.1394
```


# 12
First-principles (PBE-GGA) data for Zn2SbCl after structural relaxation, as listed in Alexandria via LeMat-Bulk.

Raw total energy = -2.1690 eV/atom
Total magnetic moment = 0.000 Bohr magnetons per cell
Symmetry = Cmmm
Offset from the most stable computed form = 29.7 kJ per mole of atoms
Calculated volume = 22.644 Å³/atom
ΔE_f (raw) = -0.040 eV/atom

Cell and atoms, written as POSCAR:
```
Zn2SbCl
1.0
-0.9811 -2.7867 -2.0183
-1.4566 -0.1949 3.2622
-6.0234 3.8997 -2.4566
Cl Sb Zn
1 1 2
Cartesian
-2.7247 -0.5159 0.0078
-5.7364 1.4340 -1.2205
-6.0146 3.8941 -2.4530
-3.0205 1.9555 -1.2319
```


> The highest raw total energy belongs to which entry?

Zn2SbCl


> Which value of total magnetic moment does entry 2 give?

0.000 Bohr magnetons per cell


> Which of these has the lowest raw total energy?

Pu6FeRu3